Computed, not measured: a relaxed structure of TbDy2Sc2 at the PBE level of DFT.

a = 7.8839 Å, b = 7.8839 Å, c = 5.7006 Å
α = 104.25°, β = 104.25°, γ = 107.12°
Element x y z (fractional)
Tb 0.0726 0.9274 0.7500
Tb 0.9274 0.0726 0.2500
Dy 0.2350 0.3970 0.1177
Dy 0.3970 0.2350 0.6177
Dy 0.6030 0.7650 0.3823
Dy 0.7650 0.6030 0.8823
Sc 0.1983 0.8017 0.2500
Sc 0.3369 0.6631 0.7500
Sc 0.6631 0.3369 0.2500
Sc 0.8017 0.1983 0.7500

Results
ΔE_f in eV per atom: 0.3246
Electronic total energy in eV/atom: -4.975
V in Å³/cell: 308.2
N(E_F) in states/eV/atom: 1.4112
Excess energy over the best structure of this formula in the dataset in eV/f.u.: 1.32